A plane-wave DFT calculation with PBE-GGA was carried out for crystalline NaZr2RhW at its relaxed geometry.

Values from the calculation:
Symmetry: P4/mmm
Uncorrected energy, eV/atom: -5.735
E_form, meV per atom: 2009.0

Cell: 4.844 4.469 4.844 Å, 90.00 90.00 90.00°
Fractional coordinates of all 5 atoms:
Zr  0.500  0.000  0.000
Rh  0.500  0.500  0.500
W  0.000  0.500  0.000
Na  0.000  0.000  0.000
Zr  0.000  0.000  0.500

A plane-wave DFT calculation with PBE-GGA was carried out for crystalline Na2YRh at its relaxed geometry.

Values from the calculation:
Symmetry: I-42d
Uncorrected energy, eV/atom: -4.086
E_form, meV per atom: 27.0

Cell: 4.008 4.008 12.347 Å, 80.66 80.66 90.00°
Fractional coordinates of all 8 atoms:
Y  0.500  0.500  0.000
Na  0.875  0.901  0.750
Rh  0.750  0.250  0.500
Rh  0.000  0.000  0.000
Na  0.651  0.125  0.250
Y  0.250  0.750  0.500
Na  0.375  0.349  0.750
Na  0.099  0.625  0.250

A plane-wave DFT calculation with PBE-GGA was carried out for crystalline NaY2Rh at its relaxed geometry.

Values from the calculation:
Symmetry: I-42d
Uncorrected energy, eV/atom: -5.411
E_form, meV per atom: -11.3

Cell: 8.207 8.207 6.714 Å, 52.33 52.33 90.00°
Fractional coordinates of all 8 atoms:
Rh  0.000  0.000  0.000
Y  0.375  0.309  0.750
Na  0.500  0.500  0.000
Y  0.059  0.625  0.250
Rh  0.750  0.250  0.500
Y  0.875  0.941  0.750
Na  0.250  0.750  0.500
Y  0.691  0.125  0.250

A plane-wave DFT calculation with PBE-GGA was carried out for crystalline NaY2Rh2 at its relaxed geometry.

Values from the calculation:
Symmetry: P4/mbm
Uncorrected energy, eV/atom: -6.297
E_form, meV per atom: -506.7

Cell: 8.052 8.052 3.427 Å, 90.00 90.00 90.00°
Fractional coordinates of all 10 atoms:
Rh  0.861  0.639  0.000
Y  0.347  0.153  0.500
Y  0.653  0.847  0.500
Na  0.000  0.000  0.000
Rh  0.139  0.361  0.000
Y  0.847  0.347  0.500
Rh  0.361  0.861  0.000
Rh  0.639  0.139  0.000
Na  0.500  0.500  0.000
Y  0.153  0.653  0.500

A plane-wave DFT calculation with PBE-GGA was carried out for crystalline NaYRh4 at its relaxed geometry.

Values from the calculation:
Symmetry: F-43m
Uncorrected energy, eV/atom: -6.534
E_form, meV per atom: -335.9

Cell: 5.294 5.294 5.294 Å, 60.00 60.00 60.00°
Fractional coordinates of all 6 atoms:
Rh  0.625  0.125  0.625
Rh  0.625  0.625  0.125
Rh  0.625  0.625  0.625
Na  0.000  0.000  0.000
Rh  0.125  0.625  0.625
Y  0.250  0.250  0.250

A plane-wave DFT calculation with PBE-GGA was carried out for crystalline NaY2Rh at its relaxed geometry.

Values from the calculation:
Symmetry: P4/mmm
Uncorrected energy, eV/atom: -5.745
E_form, meV per atom: -345.8

Cell: 3.475 3.475 9.292 Å, 90.00 90.00 90.00°
Fractional coordinates of all 4 atoms:
Rh  0.500  0.500  0.000
Y  0.000  0.000  0.175
Y  0.000  0.000  0.825
Na  0.500  0.500  0.500